Compound: BRuF3
Source: the Alexandria database
Functional: PBE
Structure: optimized geometry

Computed properties:
ΔE to the lowest computed polymorph ... 0.0000 eV per atom
E ... -4.38 eV per atom
Raw formation energy ... -30 kJ/mol of formula units

abc: 4.1456 4.1456 4.1456
angles: 90.00 90.00 90.00
Space group Pm-3m (No. 221)
Symmetry-distinct sites (fractional):
B1 0.0000 0.0000 0.0000
Ru1 0.5000 0.5000 0.5000
F1 0.0000 0.5000 0.5000

***

Compound: YSi3I
Source: the Alexandria database
Functional: PBE
Structure: optimized geometry

Computed properties:
ΔE to the lowest computed polymorph ... 0.0240 eV per atom
E ... -3.71 eV per atom
Raw formation energy ... 551 kJ/mol of formula units

abc: 5.1915 5.1915 5.1915
angles: 90.00 90.00 90.00
Space group Pm-3m (No. 221)
Symmetry-distinct sites (fractional):
Y1 0.0000 0.0000 0.0000
Si1 0.0000 0.5000 0.5000
I1 0.5000 0.5000 0.5000

***

Compound: ScFeMo2
Source: the Alexandria database
Functional: PBE
Structure: optimized geometry

Computed properties:
ΔE_f ... 0.4672 eV per atom
ΔE to the lowest computed polymorph ... 0.4009 eV per atom
E ... -8.65 eV per atom

abc: 7.2370 7.2370 5.1258
angles: 90.00 90.00 90.00
Space group I-42d (No. 122)
Symmetry-distinct sites (fractional):
Sc1 0.0000 0.0000 0.0000
Fe1 0.0000 0.0000 0.5000
Mo1 0.1978 0.2500 0.6250

***

Compound: MnPt2Br
Source: the Alexandria database
Functional: PBE
Structure: optimized geometry

Computed properties:
ΔE to the lowest computed polymorph ... 0.3513 eV per atom
E ... -5.33 eV per atom
Raw formation energy ... 155 kJ/mol of formula units

abc: 6.5036 6.5036 6.5036
angles: 90.00 90.00 90.00
Space group F-43m (No. 216)
Symmetry-distinct sites (fractional):
Mn1 0.0000 0.0000 0.0000
Pt1 0.0000 0.0000 0.5000
Pt2 0.2500 0.2500 0.2500
Br1 0.2500 0.2500 0.7500

***

Compound: YCdCu2
Source: the Alexandria database
Functional: PBE
Structure: optimized geometry

Computed properties:
ΔE_f ... -0.0333 eV per atom
E ... -3.93 eV per atom

abc: 6.7046 6.7046 6.7046
angles: 90.00 90.00 90.00
Space group F-43m (No. 216)
Symmetry-distinct sites (fractional):
Y1 0.0000 0.0000 0.0000
Cd1 0.2500 0.2500 0.7500
Cu1 0.0000 0.0000 0.5000
Cu2 0.2500 0.2500 0.2500

***

Compound: SbWAu2
Source: the Alexandria database
Functional: PBE
Structure: optimized geometry

Computed properties:
E ... -5.51 eV per atom
Raw formation energy ... 155 kJ/mol of formula units

abc: 10.3429 3.0750 5.2865
angles: 90.00 114.93 90.00
Space group Cm (No. 8)
Symmetry-distinct sites (fractional):
Sb1 0.0000 0.0000 0.0000
W1 0.2345 0.5000 0.0453
Au1 0.2048 0.0000 0.5732
Au2 0.4473 0.0000 0.4636

***

Copy entry 4 word for word.
Compound: MnPt2Br
Source: the Alexandria database
Functional: PBE
Structure: optimized geometry

Computed properties:
ΔE to the lowest computed polymorph ... 0.3513 eV per atom
E ... -5.33 eV per atom
Raw formation energy ... 155 kJ/mol of formula units

abc: 6.5036 6.5036 6.5036
angles: 90.00 90.00 90.00
Space group F-43m (No. 216)
Symmetry-distinct sites (fractional):
Mn1 0.0000 0.0000 0.0000
Pt1 0.0000 0.0000 0.5000
Pt2 0.2500 0.2500 0.2500
Br1 0.2500 0.2500 0.7500

***

What is the E in the second record? -3.71 eV per atom

***

What is the E in the sixth record? -5.51 eV per atom

***

The lowest E belongs to which entry? ScFeMo2